(1)
# LaTm4S6

A geometry-optimized LaTm4S6 structure (PBE, the Alexandria database).

Output
The calculation puts the final energy at -6.38 eV/atom. Its space group is No. 63.

a b c (Å): 6.647 6.647 19.659
angles (deg): 90.00 90.00 146.19
Atoms (fractional coordinates):
La 0.156 0.844 0.750
La 0.844 0.156 0.250
Tm 0.094 0.906 0.125
Tm 0.094 0.906 0.375
Tm 0.361 0.639 0.039
Tm 0.361 0.639 0.461
Tm 0.639 0.361 0.539
Tm 0.639 0.361 0.961
Tm 0.906 0.094 0.625
Tm 0.906 0.094 0.875
S 0.000 0.000 0.000
S 0.000 0.000 0.500
S 0.179 0.821 0.250
S 0.267 0.733 0.588
S 0.267 0.733 0.912
S 0.456 0.544 0.163
S 0.456 0.544 0.337
S 0.544 0.456 0.663
S 0.544 0.456 0.837
S 0.733 0.267 0.088
S 0.733 0.267 0.412
S 0.821 0.179 0.750

(2)
# RePb2

A geometry-optimized RePb2 structure (PBE, the Alexandria database).

Output
The calculation puts the final energy at -6.06 eV/atom. The formation energy comes out at 0.56 eV per atom. Its space group is No. 12.

a b c (Å): 6.114 6.114 8.943
angles (deg): 113.59 113.59 31.23
Atoms (fractional coordinates):
Re 0.178 0.178 0.013
Re 0.822 0.822 0.987
Pb 0.165 0.165 0.669
Pb 0.456 0.456 0.783
Pb 0.544 0.544 0.217
Pb 0.835 0.835 0.331

(3)
# ZrScAl2

A geometry-optimized ZrScAl2 structure (PBE, the Alexandria database).

Output
The calculation puts the final energy at -5.57 eV/atom. The formation energy comes out at 0.02 eV per atom. Its space group is No. 122.

a b c (Å): 6.107 6.107 6.107
angles (deg): 103.04 103.04 123.28
Atoms (fractional coordinates):
Zr 0.000 0.000 0.000
Zr 0.750 0.250 0.500
Sc 0.250 0.750 0.500
Sc 0.500 0.500 0.000
Al 0.127 0.125 0.502
Al 0.375 0.873 0.998
Al 0.623 0.625 0.498
Al 0.875 0.377 0.002

(4)
# MgMn2Se

A geometry-optimized MgMn2Se structure (PBE, the Alexandria database).

Output
The calculation puts the final energy at -5.80 eV/atom. Its space group is No. 10.

a b c (Å): 3.494 3.483 5.593
angles (deg): 90.00 90.13 90.00
Atoms (fractional coordinates):
Mg 0.000 0.000 0.000
Mn 0.499 0.500 0.743
Mn 0.501 0.500 0.257
Se 0.000 0.000 0.500

(5)
# Mg3Sn3Pb

A geometry-optimized Mg3Sn3Pb structure (PBE, the Alexandria database).

Output
The calculation puts the final energy at -2.45 eV/atom. The formation energy comes out at 0.48 eV per atom. Its space group is No. 223.

a b c (Å): 7.888 7.888 7.888
angles (deg): 90.00 90.00 90.00
Atoms (fractional coordinates):
Mg 0.000 0.250 0.500
Mg 0.000 0.750 0.500
Mg 0.250 0.500 0.000
Mg 0.500 0.000 0.250
Mg 0.500 0.000 0.750
Mg 0.750 0.500 0.000
Sn 0.000 0.500 0.250
Sn 0.000 0.500 0.750
Sn 0.250 0.000 0.500
Sn 0.500 0.250 0.000
Sn 0.500 0.750 0.000
Sn 0.750 0.000 0.500
Pb 0.000 0.000 0.000
Pb 0.500 0.500 0.500

(6)
# ErAl6Pt3

A geometry-optimized ErAl6Pt3 structure (PBE, the Alexandria database).

Output
The calculation puts the final energy at -5.32 eV/atom. The formation energy comes out at -0.80 eV per atom. Its space group is No. 11.

a b c (Å): 8.064 4.132 10.616
angles (deg): 90.00 97.00 90.00
Atoms (fractional coordinates):
Er 0.011 0.250 0.273
Er 0.989 0.750 0.727
Al 0.065 0.250 0.937
Al 0.208 0.750 0.447
Al 0.264 0.750 0.192
Al 0.340 0.750 0.729
Al 0.416 0.250 0.060
Al 0.445 0.250 0.581
Al 0.555 0.750 0.419
Al 0.584 0.750 0.940
Al 0.660 0.250 0.271
Al 0.736 0.250 0.808
Al 0.792 0.250 0.553
Al 0.935 0.750 0.063
Pt 0.127 0.250 0.563
Pt 0.262 0.750 0.953
Pt 0.372 0.250 0.335
Pt 0.628 0.750 0.665
Pt 0.738 0.250 0.047
Pt 0.873 0.750 0.437

(7)
# MgPdAu

A geometry-optimized MgPdAu structure (PBE, the Alexandria database).

Output
The calculation puts the final energy at -3.88 eV/atom. The formation energy comes out at -0.53 eV per atom. Its space group is No. 107.

a b c (Å): 5.211 5.211 5.211
angles (deg): 143.14 143.14 53.11
Atoms (fractional coordinates):
Mg 0.000 0.000 0.000
Pd 0.653 0.653 0.000
Au 0.333 0.333 0.000

(8)
# ScFeTe2I

A geometry-optimized ScFeTe2I structure (PBE, the Alexandria database).

Output
The calculation puts the final energy at -4.36 eV/atom. Its space group is No. 123.

a b c (Å): 5.151 5.151 5.267
angles (deg): 90.00 90.00 90.00
Atoms (fractional coordinates):
Sc 0.000 0.000 0.000
Fe 0.500 0.500 0.500
Te 0.000 0.500 0.500
Te 0.500 0.000 0.500
I 0.500 0.500 0.000

(9)
# P2PbSe

A geometry-optimized P2PbSe structure (PBE, the Alexandria database).

Output
The calculation puts the final energy at -3.91 eV/atom. Its space group is No. 119.

a b c (Å): 6.668 6.668 6.668
angles (deg): 146.56 146.56 48.01
Atoms (fractional coordinates):
P 0.000 0.000 0.000
P 0.750 0.250 0.500
Pb 0.250 0.750 0.500
Se 0.500 0.500 0.000

(10)
# Be3BiP

A geometry-optimized Be3BiP structure (PBE, the Alexandria database).

Output
The calculation puts the final energy at -3.55 eV/atom. The formation energy comes out at 0.54 eV per atom. Its space group is No. 221.

a b c (Å): 4.293 4.293 4.293
angles (deg): 90.00 90.00 90.00
Atoms (fractional coordinates):
Be 0.000 0.000 0.500
Be 0.000 0.500 0.000
Be 0.500 0.000 0.000
Bi 0.500 0.500 0.500
P 0.000 0.000 0.000

| no. | ρ (g/cm3) |
| --- | --- |
| 1 | 6.92 |
| 2 | 12.65 |
| 3 | 3.77 |
| 4 | 5.20 |
| 5 | 4.30 |
| 6 | 8.65 |
| 7 | 10.75 |
| 8 | 5.74 |
| 9 | 6.45 |
| 10 | 5.60 |